VASP calculation (GGA-PBE) on SrBi after structural relaxation.

Structure (extended XYZ):
```
4
Lattice="3.875 0.000 0.000 0.000 6.888 0.000 0.000 0.000 5.728" Properties=species:S:1:pos:R:3 pbc="T T T"
Sr 1.937 0.000 2.864
Sr 0.000 3.444 0.000
Bi 0.000 0.000 0.000
Bi 1.937 3.444 2.864
```

Calculated values
Calculated density (g/cm3): 6.4
Formation enthalpy at 0 K (meV/atom): -687
Magnetic moment (μB per formula unit): 0.00
Space-group type: Immm, No. 71
Fermi-level density of states (states/eV/f.u.): 1.69

=====

VASP calculation (GGA-PBE) on Mo2WSe2S4 after structural relaxation.

Structure (extended XYZ):
```
9
Lattice="1.616 -2.799 0.000 1.616 2.799 0.000 0.000 0.000 22.633" Properties=species:S:1:pos:R:3 pbc="T T T"
Mo 1.616 0.933 7.834
Mo 0.000 0.000 0.503
S 1.616 0.933 2.054
S 1.616 0.933 16.782
S 1.616 0.933 21.584
S 1.616 0.933 13.666
Se 0.000 0.000 9.541
Se 0.000 0.000 6.126
W 0.000 0.000 15.224
```

Calculated values
Calculated density (g/cm3): 5.4
E above lowest polymorph (meV/atom): 0.0
Magnetic moment (μB per formula unit): 0.00
Space-group type: P3m1, No. 156